1.
Below is an optimized crystal structure of Ga2Tc2Ge, with properties calculated at the PBE level.

energy above the most stable polymorph in this dataset = 530 meV per atom

```
Ga2Tc2Ge
1.0
3.5323 -4.9355 -2.3528
2.5565 -5.2452 2.8851
-5.2828 3.7256 -0.7639
Ge Ga Tc
1 2 2
Direct
0.0000 0.0000 0.0000 Ge
0.3987 0.3987 0.0000 Ga
0.6013 0.6013 0.0000 Ga
0.2500 0.7500 0.5000 Tc
0.7500 0.2500 0.5000 Tc
```

=====

2.
Below is an optimized crystal structure of DyFeOs, with properties calculated at the PBE level.

energy above the most stable polymorph in this dataset = 676 meV per atom
ΔE_f = 0.4372 eV/atom

```
DyFeOs
1.0
0.0000 3.0497 3.0497
3.0497 0.0000 3.0497
3.0497 3.0497 0.0000
Fe Os Dy
1 1 1
Direct
0.0000 0.0000 0.0000 Fe
0.7500 0.7500 0.7500 Os
0.2500 0.2500 0.2500 Dy
```

=====

3.
Below is an optimized crystal structure of Er5Lu2Ir2S2, with properties calculated at the PBE level.

```
Er5Lu2Ir2S2
1.0
-1.6989 -4.6833 -7.2769
-6.2207 0.5616 6.2258
4.5619 2.8231 -6.9995
Lu Er S Ir
2 5 2 2
Direct
0.8689 0.0502 0.8188 Lu
0.2314 0.0502 0.1812 Lu
0.8852 0.2650 0.6202 Er
0.6448 0.2650 0.3798 Er
0.1759 0.6759 0.5000 Er
0.5613 0.4241 0.1372 Er
0.2869 0.4241 0.8628 Er
0.9247 0.9247 0.0000 S
0.5169 0.0169 0.5000 S
0.0105 0.7493 0.2612 Ir
0.4881 0.7493 0.7388 Ir
```

=====

4.
Below is an optimized crystal structure of ReHgO3, with properties calculated at the PBE level.

```
ReHgO3
1.0
3.9267 0.0000 0.0000
0.0000 3.9267 0.0000
0.0000 0.0000 3.9557
O Hg Re
3 1 1
Direct
0.0000 0.5000 0.5819 O
0.5000 0.0000 0.5819 O
0.5000 0.5000 0.0803 O
0.0000 0.0000 0.0753 Hg
0.5000 0.5000 0.5806 Re
```

=====

5.
Below is an optimized crystal structure of SiPdPt, with properties calculated at the PBE level.

```
SiPdPt
1.0
-1.5712 -1.1377 3.5559
-3.1475 2.0157 1.5613
-3.6547 -1.7414 0.1351
Pt Si Pd
1 1 1
Direct
0.7500 0.7500 0.7500 Pt
0.0000 0.0000 0.0000 Si
0.2500 0.2500 0.2500 Pd
```

=====

6.
Below is an optimized crystal structure of SmYAsO, with properties calculated at the PBE level.

energy above the most stable polymorph in this dataset = 0 meV per atom

```
SmYAsO
1.0
-3.4190 -1.5855 1.9738
4.5407 -3.6990 4.8944
-0.0851 4.7656 3.6806
Sm As Y O
2 2 2 2
Direct
0.0000 0.7925 0.9370 Sm
0.0000 0.2075 0.4370 Sm
0.0000 0.8317 0.4287 As
0.0000 0.1683 0.9287 As
0.5000 0.6113 0.5122 Y
0.5000 0.3887 0.0122 Y
0.5000 0.6662 0.8761 O
0.5000 0.3338 0.3761 O
```

=====

7.
Below is an optimized crystal structure of LuCoHgAs, with properties calculated at the PBE level.

energy above the most stable polymorph in this dataset = 205 meV per atom

```
LuCoHgAs
1.0
3.7018 -0.3987 2.9438
-0.5428 -2.0923 4.2256
1.9418 -4.2549 0.8083
Hg As Co Lu
1 1 1 1
Direct
0.2500 0.2500 0.2500 Hg
0.0000 0.0000 0.0000 As
0.7500 0.7500 0.7500 Co
0.5000 0.5000 0.5000 Lu
```

=====

8.
Below is an optimized crystal structure of LuTcPO, with properties calculated at the PBE level.

energy above the most stable polymorph in this dataset = 0 meV per atom

```
LuTcPO
1.0
3.8758 0.0000 0.0000
0.0000 3.8758 0.0000
0.0000 0.0000 8.0918
P Lu O Tc
2 2 2 2
Direct
0.0000 0.0000 0.6726 P
0.5000 0.5000 0.3274 P
0.0000 0.0000 0.1275 Lu
0.5000 0.5000 0.8725 Lu
0.0000 0.5000 0.0000 O
0.5000 0.0000 0.0000 O
0.0000 0.5000 0.5000 Tc
0.5000 0.0000 0.5000 Tc
```

=====

9.
Below is an optimized crystal structure of ZrTa2B, with properties calculated at the PBE level.

```
ZrTa2B
1.0
1.2947 0.9134 4.2432
0.2817 4.2962 1.4067
-3.0017 1.6063 2.9876
Ta B Zr
2 1 1
Direct
0.0000 0.0000 0.0000 Ta
0.7500 0.7500 0.7500 Ta
0.5000 0.5000 0.5000 B
0.2500 0.2500 0.2500 Zr
```

=====

10.
Below is an optimized crystal structure of Na2CuNiS4, with properties calculated at the PBE level.

```
Na2CuNiS4
1.0
4.6072 -3.7832 0.0000
4.6072 3.7832 0.0000
-4.5843 0.0000 4.6235
Na S Cu Ni
2 4 1 1
Direct
0.9852 0.0148 0.0000 Na
0.2352 0.7648 0.5000 Na
0.1039 0.3787 0.5732 S
0.6213 0.8961 0.4268 S
0.4409 0.2211 0.0900 S
0.7789 0.5591 0.9100 S
0.4859 0.5141 0.0000 Cu
0.7358 0.2642 0.5000 Ni
```

=====

11.
Below is an optimized crystal structure of TaAlRe2, with properties calculated at the PBE level.

```
TaAlRe2
1.0
-1.4376 -3.7728 -1.8579
-4.3608 -0.7735 -0.3708
-1.9409 0.0902 -3.9972
Ta Al Re
1 1 2
Direct
0.2500 0.2500 0.2500 Ta
0.5000 0.5000 0.5000 Al
0.7500 0.7500 0.7500 Re
0.0000 0.0000 0.0000 Re
```

=====

12.
Below is an optimized crystal structure of Cu5Ag4, with properties calculated at the PBE level.

energy above the most stable polymorph in this dataset = 62 meV per atom
ΔE_f = 0.1027 eV/atom

```
Cu5Ag4
1.0
-3.0508 -2.3027 -2.8820
-2.4026 -4.1190 0.4208
-4.3657 5.7399 4.0134
Ag Cu
4 5
Direct
0.3349 0.3349 0.9436 Ag
0.3404 0.3404 0.6112 Ag
0.6651 0.6651 0.0564 Ag
0.6596 0.6596 0.3888 Ag
0.3376 0.3376 0.2800 Cu
0.9966 0.9966 0.1753 Cu
0.6624 0.6624 0.7200 Cu
0.0034 0.0034 0.8247 Cu
0.0000 0.0000 0.5000 Cu
```

=====

| no. | uncorrected energy (eV per atom) |
| --- | --- |
| 1 | -5.871 |
| 2 | -7.608 |
| 3 | -6.381 |
| 4 | -6.349 |
| 5 | -6.245 |
| 6 | -7.162 |
| 7 | -4.091 |
| 8 | -8.238 |
| 9 | -9.243 |
| 10 | -3.977 |
| 11 | -10.112 |
| 12 | -3.218 |